CrSn3F after structural relaxation. Source: Alexandria, functional GGA+U.

The structure belongs to space group Pm-3m (No. 221); the cell edges are 4.9322, 4.9322 and 4.9322 Å and the angles 90.00°, 90.00° and 90.00°. The asymmetric unit holds Cr at (0.0000, 0.0000, 0.0000), Sn at (0.0000, 0.5000, 0.5000) and F at (0.5000, 0.5000, 0.5000).

The density of states at the Fermi level is 1.8 states/eV/f.u. As for the distance to the lowest polymorph of the same formula: 0.0 meV per atom.